Entry 1:
The following is a PBE calculation of KCa2Y after structural relaxation, from Alexandria via LeMat-Bulk.

```
KCa2Y
1.0
3.778 0.000 0.000
0.000 3.778 0.000
0.000 0.000 12.196
K Y Ca
1 1 2
Direct
0.000 0.000 0.509
0.500 0.500 0.780
0.000 0.000 0.989
0.500 0.500 0.222
```

Properties
Formation enthalpy at 0 K   236 meV per atom
Space-group type   P4mm (99)

---

Entry 2:
The following is a PBE calculation of Ba2NaS after structural relaxation, from Alexandria via LeMat-Bulk.

```
Ba2NaS
1.0
9.140 0.000 0.000
0.000 9.140 0.000
4.570 4.570 4.770
Ba Na S
4 2 2
Direct
0.048 0.625 0.250
0.702 0.125 0.250
0.375 0.298 0.750
0.875 0.952 0.750
0.250 0.750 0.500
0.500 0.500 0.000
0.000 0.000 0.000
0.750 0.250 0.500
```

Properties
Space-group type   I-42d (122)
Formation energy without anion corrections   -801 meV per atom

---

Entry 3:
The following is a PBE calculation of ZnCu2Hg after structural relaxation, from Alexandria via LeMat-Bulk.

```
ZnCu2Hg
1.0
4.538 0.012 -0.080
3.635 2.717 -0.080
0.878 0.293 5.015
Zn Cu Hg
1 2 1
Direct
0.250 0.250 0.250
0.993 0.993 0.039
0.507 0.507 0.461
0.750 0.750 0.750
```

Properties
Formation enthalpy at 0 K   130 meV per atom
Space-group type   C2/m (12)

---

Entry 4:
The following is a PBE calculation of HfSc2ZnH after structural relaxation, from Alexandria via LeMat-Bulk.

```
HfSc2ZnH
1.0
4.384 0.000 0.000
0.000 4.384 0.000
0.000 0.000 4.359
H Hf Sc Zn
1 1 2 1
Direct
0.000 0.000 0.000
0.000 0.000 0.500
0.500 0.000 0.000
0.000 0.500 0.000
0.500 0.500 0.500
```

Properties
Final energy   -5.630 eV/atom
Space-group type   P4/mmm (123)